No. 1
Compound: Sb2HSeS
Source: the Alexandria database
Functional: PBE-GGA
Structure: optimized geometry

abc: 5.669 5.669 3.232
angles: 90.00 90.00 90.00
Fractional positions:
Sb 0.000 0.500 0.000
Sb 0.500 0.000 0.000
H 0.000 0.000 0.500
Se 0.500 0.500 0.500
S 0.000 0.000 0.000

Computed properties:
electronic total energy: -17.953 eV/cell
total moment: 0.00 μB/f.u.


No. 2
Compound: RuC
Source: the Alexandria database
Functional: PBE-GGA
Structure: optimized geometry

abc: 6.462 6.462 6.462
angles: 24.98 24.98 24.98
Fractional positions:
Ru 0.229 0.229 0.229
Ru 0.771 0.771 0.771
C 0.037 0.037 0.037
C 0.963 0.963 0.963

Computed properties:
electronic total energy: -35.538 eV/cell
E_form: 0.37 eV/atom
total moment: 0.00 μB/f.u.
energy above the most stable polymorph in this dataset: 0.0 meV per atom


No. 3
Compound: DyO2
Source: the Alexandria database
Functional: PBE-GGA
Structure: optimized geometry

abc: 4.205 3.654 6.214
angles: 90.00 107.87 90.00
Fractional positions:
Dy 0.167 0.250 0.314
Dy 0.833 0.750 0.686
O 0.180 0.750 0.056
O 0.267 0.750 0.546
O 0.733 0.250 0.454
O 0.820 0.250 0.944

Computed properties:
electronic total energy: -45.259 eV/cell
total moment: 1.00 μB/f.u.
uncorrected formation energy: -2.704 eV/atom


No. 4
Compound: GaTcI2O
Source: the Alexandria database
Functional: PBE-GGA
Structure: optimized geometry

abc: 5.698 5.698 3.784
angles: 90.00 90.00 90.00
Fractional positions:
Ga 0.000 0.000 0.000
Tc 0.500 0.500 0.500
I 0.000 0.500 0.500
I 0.500 0.000 0.500
O 0.500 0.500 0.000

Computed properties:
electronic total energy: -23.048 eV/cell
total moment: 0.00 μB/f.u.
energy above the most stable polymorph in this dataset: 0.0 meV per atom
uncorrected formation energy: -0.319 eV/atom


No. 5
Compound: LaSc2W
Source: the Alexandria database
Functional: PBE-GGA
Structure: optimized geometry

abc: 5.162 5.162 5.162
angles: 123.73 123.73 83.66
Fractional positions:
La 0.000 0.000 0.000
Sc 0.250 0.750 0.500
Sc 0.500 0.500 0.000
W 0.750 0.250 0.500

Computed properties:
electronic total energy: -28.824 eV/cell
E_form: 0.43 eV/atom
total moment: 0.00 μB/f.u.


No. 6
Compound: Cd2TcAg
Source: the Alexandria database
Functional: PBE-GGA
Structure: optimized geometry

abc: 4.864 4.864 4.864
angles: 125.28 125.28 81.08
Fractional positions:
Cd 0.250 0.750 0.500
Cd 0.750 0.250 0.500
Tc 0.000 0.000 0.000
Ag 0.500 0.500 0.000

Computed properties:
electronic total energy: -13.300 eV/cell
E_form: 0.44 eV/atom
total moment: 1.76 μB/f.u.
energy above the most stable polymorph in this dataset: 178.8 meV per atom


No. 7
Compound: AlPPbO2
Source: the Alexandria database
Functional: PBE-GGA
Structure: optimized geometry

abc: 4.151 4.151 5.406
angles: 90.00 90.00 90.00
Fractional positions:
Al 0.000 0.000 0.000
P 0.500 0.500 0.000
Pb 0.500 0.500 0.500
O 0.000 0.500 0.500
O 0.500 0.000 0.500

Computed properties:
electronic total energy: -22.019 eV/cell
total moment: 0.00 μB/f.u.
energy above the most stable polymorph in this dataset: 1077.5 meV per atom
uncorrected formation energy: 0.152 eV/atom


No. 8
Compound: Y15Tm4Th
Source: the Alexandria database
Functional: PBE-GGA
Structure: optimized geometry

abc: 5.038 5.038 25.126
angles: 90.00 90.00 90.00
Fractional positions:
Y 0.000 0.000 0.000
Y 0.000 0.000 0.202
Y 0.000 0.000 0.400
Y 0.000 0.000 0.600
Y 0.000 0.000 0.798
Y 0.000 0.500 0.100
Y 0.000 0.500 0.300
Y 0.000 0.500 0.500
Y 0.000 0.500 0.700
Y 0.000 0.500 0.900
Y 0.500 0.000 0.100
Y 0.500 0.000 0.300
Y 0.500 0.000 0.500
Y 0.500 0.000 0.700
Y 0.500 0.000 0.900
Tm 0.500 0.500 0.200
Tm 0.500 0.500 0.400
Tm 0.500 0.500 0.600
Tm 0.500 0.500 0.800
Th 0.500 0.500 0.000

Computed properties:
electronic total energy: -121.638 eV/cell
E_form: 0.03 eV/atom
total moment: 0.00 μB/f.u.


no.,volume (Å³/atom)
1,20.8
2,10.6
3,15.1
4,24.6
5,22.8
6,18.5
7,18.6
8,31.9